# 1
A geometry-optimized Mo2ClO structure. Source: Alexandria, functional GGA+U.

Lattice parameters (Å, degrees): 5.0333 5.0333 7.5312 70.48 70.48 90.00
Each line ends with the local moment (μB).
Element x y z (fractional)
1 Cl 0.0000 0.0000 0.0000  0.06
2 Cl 0.7500 0.2500 0.5000  0.07
3 Mo 0.3750 0.5161 0.7500  2.05
4 Mo 0.8750 0.7339 0.7500  2.08
5 Mo 0.4839 0.1250 0.2500  2.14
6 Mo 0.2661 0.6250 0.2500  2.14
7 O 0.5000 0.5000 0.0000  -0.01
8 O 0.2500 0.7500 0.5000  -0.01

Results
For the energy relative to the lowest polymorph listed for this composition, the calculation gives 0 meV/atom. As for the symmetry: I-42d, No. 122. For the total energy, the calculation gives -5.008 eV per atom. For the total magnetization, the calculation gives 4.90 μB per formula unit. The crystal system is tetragonal.

***

# 2
A geometry-optimized CaNd3Mn4O12 structure. Source: Alexandria, functional GGA+U.

Lattice parameters (Å, degrees): 7.7488 5.4772 5.6220 90.09 90.00 90.00
Each line ends with the local moment (μB).
Element x y z (fractional)
1 O 0.7051 0.2881 0.2922  -0.06
2 O 0.2949 0.2881 0.2922  -0.06
3 O 0.5000 0.9128 0.4764  -0.07
4 O 0.0000 0.4191 0.0214  -0.06
5 O 0.7994 0.7154 0.7101  -0.05
6 O 0.2006 0.7154 0.7101  -0.05
7 O 0.0000 0.0851 0.5179  -0.06
8 O 0.5000 0.5847 0.9713  -0.06
9 O 0.7944 0.7883 0.2079  -0.05
10 O 0.2891 0.2051 0.7979  -0.05
11 O 0.2056 0.7883 0.2079  -0.05
12 O 0.7109 0.2051 0.7979  -0.05
13 Mn 0.2532 0.0012 0.5011  3.82
14 Mn 0.2528 0.4995 0.9983  3.83
15 Mn 0.7468 0.0012 0.5011  3.82
16 Mn 0.7472 0.4995 0.9983  3.83
17 Nd 0.5000 0.0120 0.0521  0.02
18 Nd 0.0000 0.9893 0.9485  0.01
19 Nd 0.0000 0.5127 0.4490  0.01
20 Ca 0.5000 0.4889 0.5484  0.01

Results
As for the symmetry: Pm, No. 6. For the total energy, the calculation gives -7.726 eV per atom. For the total magnetization, the calculation gives 15.00 μB per formula unit. The crystal system is monoclinic.